No. 1
A plane-wave DFT calculation with PBE was carried out for an optimized crystal structure of ScMo2P.

a = 3.3961 Å, b = 4.0279 Å, c = 9.4046 Å
α = 90.00°, β = 90.00°, γ = 90.00°
Space group Immm (No. 71)
Unique sites:
Sc1 0.0000 0.0000 0.0000 (multiplicity 2)
Mo1 0.0000 0.5000 0.2445 (multiplicity 4)
P1 0.0000 0.0000 0.5000 (multiplicity 2)

Energy of formation, eV/atom: -0.141
DFT total energy, eV/atom: -8.492
V, Å³/atom: 16.1
Size of the total moment, μB per formula unit: 0.00

=====

No. 2
A plane-wave DFT calculation with PBE was carried out for an optimized crystal structure of MgTaPt2.

a = 3.5394 Å, b = 3.5394 Å, c = 5.5131 Å
α = 90.00°, β = 90.00°, γ = 90.00°
Space group P4mm (No. 99)
Unique sites:
Mg1 0.0000 0.0000 0.0000 (multiplicity 1)
Ta1 0.5000 0.5000 0.6722 (multiplicity 1)
Pt1 0.0000 0.0000 0.4937 (multiplicity 1)
Pt2 0.5000 0.5000 0.1657 (multiplicity 1)

Energy of formation, eV/atom: -0.459
DFT total energy, eV/atom: -6.841
V, Å³/atom: 17.3
Size of the total moment, μB per formula unit: 0.00

=====

No. 3
A plane-wave DFT calculation with PBE was carried out for an optimized crystal structure of Dy2AlTe.

a = 4.0816 Å, b = 4.0816 Å, c = 23.3359 Å
α = 90.00°, β = 90.00°, γ = 120.00°
Space group R-3m (No. 166, hexagonal axes)
Unique sites:
Dy1 0.0000 0.0000 0.2477 (multiplicity 6)
Al1 0.0000 0.0000 0.5000 (multiplicity 3)
Te1 0.0000 0.0000 0.0000 (multiplicity 3)

DFT total energy, eV/atom: -4.782
V, Å³/atom: 28.1
Size of the total moment, μB per formula unit: 0.00
Formation energy (no corrections), eV/f.u.: -3.04

=====

No. 4
A plane-wave DFT calculation with PBE was carried out for an optimized crystal structure of Dy3SnBi2.

a = 7.7779 Å, b = 13.4029 Å, c = 7.6027 Å
α = 90.00°, β = 109.70°, γ = 90.00°
Space group C2/c (No. 15)
Unique sites:
Dy1 0.2446 0.0821 0.4965 (multiplicity 8)
Dy2 0.2500 0.2500 0.0000 (multiplicity 4)
Sn1 0.0000 0.0854 0.7500 (multiplicity 4)
Bi1 0.0000 0.2528 0.2500 (multiplicity 4)
Bi2 0.0000 0.4171 0.7500 (multiplicity 4)

Energy of formation, eV/atom: -0.739
DFT total energy, eV/atom: -5.000
V, Å³/atom: 31.1
Size of the total moment, μB per formula unit: 0.00

=====

No. 5
A plane-wave DFT calculation with PBE was carried out for an optimized crystal structure of Na3In9Pb2.

a = 5.0482 Å, b = 11.7101 Å, c = 13.8533 Å
α = 90.00°, β = 90.00°, γ = 90.00°
Space group Immm (No. 71)
Unique sites:
Na1 0.0000 0.0000 0.0000 (multiplicity 2)
Na2 0.0000 0.0000 0.2871 (multiplicity 4)
In1 0.0000 0.2755 0.1563 (multiplicity 8)
In2 0.0000 0.3761 0.3569 (multiplicity 8)
In3 0.0000 0.5000 0.0000 (multiplicity 2)
Pb1 0.0000 0.1703 0.5000 (multiplicity 4)

Energy of formation, eV/atom: -0.057
DFT total energy, eV/atom: -2.630
V, Å³/atom: 29.2
Size of the total moment, μB per formula unit: 0.00

=====

No. 6
A plane-wave DFT calculation with PBE was carried out for an optimized crystal structure of Pr2AlAg2.

a = 7.6612 Å, b = 7.6612 Å, c = 8.7157 Å
α = 90.00°, β = 90.00°, γ = 90.00°
Space group P4/mnc (No. 128)
Unique sites:
Pr1 0.1746 0.3251 0.0000 (multiplicity 8)
Al1 0.0000 0.0000 0.2505 (multiplicity 4)
Ag1 0.1307 0.6307 0.2500 (multiplicity 8)

Energy of formation, eV/atom: -0.247
DFT total energy, eV/atom: -4.048
V, Å³/atom: 25.6
Size of the total moment, μB per formula unit: 0.00

=====

No. 7
A plane-wave DFT calculation with PBE was carried out for an optimized crystal structure of LiScP2.

a = 2.9004 Å, b = 3.6427 Å, c = 6.0520 Å
α = 90.00°, β = 90.00°, γ = 90.00°
Space group Pmmm (No. 47)
Unique sites:
Li1 0.0000 0.0000 0.0000 (multiplicity 1)
Sc1 0.0000 0.0000 0.5000 (multiplicity 1)
P1 0.5000 0.5000 0.2494 (multiplicity 2)

Energy of formation, eV/atom: -0.644
DFT total energy, eV/atom: -5.410
V, Å³/atom: 16.0
Size of the total moment, μB per formula unit: 0.00

=====

No. 8
A plane-wave DFT calculation with PBE was carried out for an optimized crystal structure of Pm6Y12Er.

a = 11.1706 Å, b = 11.1706 Å, c = 17.5966 Å
α = 90.00°, β = 90.00°, γ = 120.00°
Space group R-3m (No. 166, hexagonal axes)
Unique sites:
Pm1 0.0717 0.5359 0.2663 (multiplicity 18)
Y1 0.0997 0.5499 0.9136 (multiplicity 18)
Y2 0.1065 0.2129 0.9086 (multiplicity 18)
Er1 0.0000 0.0000 0.5000 (multiplicity 3)

Energy of formation, eV/atom: 0.117
DFT total energy, eV/atom: -5.706
V, Å³/atom: 33.4
Size of the total moment, μB per formula unit: 0.00